Run w
A plane-wave DFT calculation with PBEsol was carried out for KLiI2 after structural relaxation.

Symmetry: Fm-3m (225)

a b c (Å): 5.714 5.714 5.714
angles (deg): 60.00 60.00 60.00
Positions (direct):
I 0.250 0.250 0.250
I 0.750 0.750 0.750
K 0.500 0.500 0.500
Li 0.000 0.000 0.000

Run x
A plane-wave DFT calculation with PBEsol was carried out for KLiI2 after structural relaxation.

Symmetry: I-42d (122)

a b c (Å): 7.271 7.271 7.271
angles (deg): 103.73 112.41 112.41
Positions (direct):
Li 0.000 0.500 0.500
Li 0.500 0.250 0.750
K 0.500 0.750 0.250
K 0.000 0.000 0.000
I 0.434 0.875 0.809
I 0.066 0.191 0.625
I 0.934 0.559 0.125
I 0.566 0.375 0.441

Energy relative to the most stable one, in kJ/mol of atoms: run w 14.6; run x 0.0

Run w
A plane-wave DFT calculation with PBEsol was carried out for KNaI2 after structural relaxation.

Symmetry: I-42d (122)

a b c (Å): 7.609 7.609 7.609
angles (deg): 104.24 112.15 112.15
Positions (direct):
I 0.467 0.875 0.842
I 0.033 0.158 0.625
I 0.967 0.592 0.125
I 0.533 0.375 0.408
K 0.000 0.000 0.000
K 0.500 0.750 0.250
Na 0.500 0.250 0.750
Na 0.000 0.500 0.500

Run x
A plane-wave DFT calculation with PBEsol was carried out for KNaI2 after structural relaxation.

Symmetry: Fm-3m (225)

a b c (Å): 5.813 5.813 5.813
angles (deg): 60.00 60.00 60.00
Positions (direct):
K 0.500 0.500 0.500
I 0.250 0.250 0.250
I 0.750 0.750 0.750
Na 0.000 0.000 0.000

Energy relative to the most stable one, in kJ/mol of atoms: run w 0.0; run x 1.6

Run w
A plane-wave DFT calculation with PBEsol was carried out for KRbI2 after structural relaxation.

Symmetry: Fm-3m (225)

a b c (Å): 6.070 6.070 6.070
angles (deg): 60.00 60.00 60.00
Positions (direct):
Rb 0.500 0.500 0.500
I 0.750 0.750 0.750
I 0.250 0.250 0.250
K 0.000 0.000 0.000

Run x
A plane-wave DFT calculation with PBEsol was carried out for KRbI2 after structural relaxation.

Symmetry: I-42d (122)

a b c (Å): 8.062 8.062 9.734
angles (deg): 114.46 114.46 90.00
Positions (direct):
K 0.500 0.500 0.000
K 0.750 0.250 0.500
I 0.390 0.875 0.250
I 0.625 0.610 0.750
I 0.125 0.140 0.750
I 0.860 0.375 0.250
Rb 0.000 0.000 0.000
Rb 0.250 0.750 0.500

Energy relative to the most stable one, in kJ/mol of atoms: run w 0.0; run x 7.4

Run w
A plane-wave DFT calculation with PBEsol was carried out for KScI3 after structural relaxation.

Symmetry: Pm-3m (221)

a b c (Å): 6.063 6.063 6.063
angles (deg): 90.00 90.00 90.00
Positions (direct):
I 0.000 0.500 0.000
I 0.000 0.000 0.500
I 0.500 0.000 0.000
K 0.000 0.000 0.000
Sc 0.500 0.500 0.500

Run x
A plane-wave DFT calculation with PBEsol was carried out for KScI3 after structural relaxation.

Symmetry: Pm-3m (221)

a b c (Å): 5.729 5.729 5.729
angles (deg): 90.00 90.00 90.00
Positions (direct):
I 0.500 0.000 0.000
I 0.000 0.000 0.500
I 0.000 0.500 0.000
K 0.500 0.500 0.500
Sc 0.000 0.000 0.000

Energy relative to the most stable one, in kJ/mol of atoms: run w 101.1; run x 0.0

Run w
A plane-wave DFT calculation with PBEsol was carried out for LaMn3I after structural relaxation.

Symmetry: Pm-3m (221)

a b c (Å): 4.788 4.788 4.788
angles (deg): 90.00 90.00 90.00
Positions (direct):
Mn 0.500 0.000 0.000
Mn 0.000 0.000 0.500
Mn 0.000 0.500 0.000
I 0.000 0.000 0.000
La 0.500 0.500 0.500

Run x
A plane-wave DFT calculation with PBEsol was carried out for LaMn3I after structural relaxation.

Symmetry: Pm-3m (221)

a b c (Å): 4.794 4.794 4.794
angles (deg): 90.00 90.00 90.00
Positions (direct):
Mn 0.000 0.000 0.500
Mn 0.000 0.500 0.000
Mn 0.500 0.000 0.000
La 0.000 0.000 0.000
I 0.500 0.500 0.500

Energy relative to the most stable one, in kJ/mol of atoms: run w 0.0; run x 62.7

Run w
A plane-wave DFT calculation with PBEsol was carried out for LaS2I after structural relaxation.

Symmetry: R-3m (166)

a b c (Å): 4.425 4.425 8.255
angles (deg): 74.45 74.45 60.00
Positions (direct):
S 0.889 0.889 0.333
S 0.111 0.111 0.667
La 0.500 0.500 0.500
I 0.000 0.000 0.000

Run x
A plane-wave DFT calculation with PBEsol was carried out for LaS2I after structural relaxation.

Symmetry: I-42d (122)

a b c (Å): 6.532 6.532 6.532
angles (deg): 106.40 106.40 115.80
Positions (direct):
S 0.625 0.103 0.978
S 0.897 0.875 0.522
S 0.125 0.647 0.022
S 0.353 0.375 0.478
I 0.500 0.500 0.000
I 0.750 0.250 0.500
La 0.250 0.750 0.500
La 0.000 0.000 0.000

Energy relative to the most stable one, in kJ/mol of atoms: run w 0.0; run x 42.4